VASP calculation (GGA-PBE) on a relaxed structure of ScNb2P2.

- Total DFT energy (no corrections): -8.355 eV/atom
- Formation energy: -0.897 eV/atom
- Space group: P4/mbm
- Total magnetic moment: 0.000 μB per atom

a b c (Å): 6.9137 6.9137 3.3736
angles (deg): 90.00 90.00 90.00
Atoms (fractional coordinates):
Sc  0.0000  0.0000  0.0000
Sc  0.5000  0.5000  0.0000
P  0.3582  0.8582  0.0000
P  0.8582  0.6418  0.0000
P  0.6418  0.1418  0.0000
P  0.1418  0.3582  0.0000
Nb  0.1511  0.6511  0.5000
Nb  0.6511  0.8489  0.5000
Nb  0.8489  0.3489  0.5000
Nb  0.3489  0.1511  0.5000

VASP calculation (GGA-PBE) on a relaxed structure of Sr6P2AuI3.

- Total DFT energy (no corrections): -3.638 eV/atom
- Space group: C2/m
- Total magnetic moment: 0.172 μB per atom
- Energy relative to the elements, uncorrected: -1.24 eV/atom

a b c (Å): 7.9084 7.9084 8.4424
angles (deg): 99.02 99.02 120.32
Each line ends with the local moment (μB).
Atoms (fractional coordinates):
Sr  0.9358  0.5896  0.8030  0.06
Sr  0.7215  0.7215  0.1994  0.06
Sr  0.0642  0.4104  0.1970  0.06
Sr  0.5896  0.9358  0.8030  0.06
Sr  0.2785  0.2785  0.8006  0.06
Sr  0.4104  0.0642  0.1970  0.06
P  0.3345  0.6655  0.0000  0.01
P  0.6655  0.3345  0.0000  0.01
Au  0.0000  0.0000  0.0000  0.11
I  0.1681  0.8319  0.5000  0.01
I  0.8319  0.1681  0.5000  0.01
I  0.5000  0.5000  0.5000  0.01

Which of these has the highest total DFT energy (no corrections)? Sr6P2AuI3

The highest total DFT energy (no corrections) belongs to which entry? Sr6P2AuI3

Number 1 is which compound? ScNb2P2